[1]
VASP calculation (meta-GGA SCAN) on a PBEsol-optimized structure of ZrBr.

Cell and atoms, written as POSCAR:
```
ZrBr
1.0
3.8269 0.0000 0.0000
0.0000 3.8269 0.0000
-1.9135 -1.9135 5.6814
Zr Br
2 2
Direct
0.7500 0.2500 0.5000
0.5000 0.5000 0.0000
0.2500 0.7500 0.5000
0.0000 0.0000 0.0000
```

Computed properties:
Calculated volume = 83 Å³/cell
SG = I4_1/amd
Energy relative to the lowest polymorph listed for this composition = 1079 meV per atom
Raw total energy = -25.13 eV per atom
E_form (uncorrected) = -0.05 eV per atom

---

[2]
VASP calculation (meta-GGA SCAN) on a PBEsol-optimized structure of ZrBr5.

Cell and atoms, written as POSCAR:
```
ZrBr5
1.0
-2.6581 3.3858 -3.2376
1.8088 -4.6973 -1.9170
-6.1615 -3.1098 1.8064
Zr Br
1 5
Direct
0.0000 0.0000 0.0000
0.0000 0.5000 0.5000
0.5000 0.0000 0.5000
0.6667 0.3333 0.0000
0.5000 0.5000 0.5000
0.3333 0.6667 0.0000
```

Computed properties:
Calculated volume = 179 Å³/cell
SG = P6/mmm
Raw total energy = -21.31 eV per atom
E_form (uncorrected) = 0.02 eV per atom

---

[3]
VASP calculation (meta-GGA SCAN) on a PBEsol-optimized structure of ZrBr.

Cell and atoms, written as POSCAR:
```
ZrBr
1.0
4.5108 0.0000 0.0000
2.2554 3.9065 0.0000
2.2554 1.3022 5.3369
Br Zr
2 2
Direct
0.6069 0.6069 0.1794
0.3931 0.3931 0.8206
0.9079 0.9079 0.2764
0.0921 0.0921 0.7236
```

Computed properties:
Calculated volume = 94 Å³/cell
SG = R-3m
Energy relative to the lowest polymorph listed for this composition = 994 meV per atom
Raw total energy = -25.21 eV per atom
E_form (uncorrected) = -0.13 eV per atom

---

[4]
VASP calculation (meta-GGA SCAN) on a PBEsol-optimized structure of ZrBr.

Cell and atoms, written as POSCAR:
```
ZrBr
1.0
3.2173 0.4938 0.0000
-0.4913 3.2177 0.0000
0.0000 0.0000 8.8866
Zr Br
2 2
Direct
0.2500 0.7500 0.6327
0.7500 0.2500 0.3673
0.7500 0.2500 0.8218
0.2500 0.7500 0.1782
```

Computed properties:
Calculated volume = 94 Å³/cell
SG = P4/nmm
Energy relative to the lowest polymorph listed for this composition = 290 meV per atom
Raw total energy = -25.92 eV per atom
E_form (uncorrected) = -0.84 eV per atom